Record 1
BaNiPt2 | PBE | relaxed Values from VASP.

As for the space group: No. 44. The value obtained for the uncorrected energy is -19.23 eV/cell. Its density of states at the Fermi level is 5.398 states/eV/f.u.

```
&SYSTEM
  ibrav = 0, nat = 4, ntyp = 3
/
ATOMIC_SPECIES
Ba 137.33 Ba.upf
Pt 195.08 Pt.upf
Ni 58.69 Ni.upf
ATOMIC_POSITIONS angstrom
Ba 3.525 2.568 0.000
Pt 3.306 -0.182 1.552
Pt 0.093 0.068 0.000
Ni 0.746 1.935 1.517
CELL_PARAMETERS angstrom
5.445 -0.016 0.035
1.655 5.187 -0.035
-2.979 -3.369 3.069
```

=====

Record 2
BaNiPt2 | PBE | relaxed Values from VASP.

As for the space group: No. 6. The value obtained for the uncorrected energy is -20.81 eV/cell. Its density of states at the Fermi level is 3.361 states/eV/f.u.

```
&SYSTEM
  ibrav = 0, nat = 4, ntyp = 3
/
ATOMIC_SPECIES
Pt 195.08 Pt.upf
Ba 137.33 Ba.upf
Ni 58.69 Ni.upf
ATOMIC_POSITIONS angstrom
Pt -1.583 -3.500 -2.501
Pt -1.869 0.419 -1.724
Ba -2.711 -2.190 0.245
Ni -6.063 -2.147 -0.367
CELL_PARAMETERS angstrom
-2.501 2.830 -2.378
-1.607 -3.564 -2.552
-3.804 -0.891 2.940
```

=====

Record 3
BaNi3Pt | PBE | relaxed Values from VASP.

As for the space group: No. 221. The value obtained for the uncorrected energy is -23.48 eV/cell. Its density of states at the Fermi level is 7.931 states/eV/f.u.

```
&SYSTEM
  ibrav = 0, nat = 5, ntyp = 3
/
ATOMIC_SPECIES
Pt 195.08 Pt.upf
Ni 58.69 Ni.upf
Ba 137.33 Ba.upf
ATOMIC_POSITIONS angstrom
Pt 0.000 0.000 0.000
Ni 0.000 0.000 2.386
Ni 0.000 2.386 0.000
Ni 2.386 0.000 0.000
Ba 2.386 2.386 2.386
CELL_PARAMETERS angstrom
4.772 0.000 0.000
0.000 4.772 0.000
0.000 0.000 4.772
```

=====

Record 4
Ba2NiPt | PBE | relaxed Values from VASP.

As for the space group: No. 44. The value obtained for the uncorrected energy is -16.90 eV/cell. Its density of states at the Fermi level is 2.853 states/eV/f.u.

```
&SYSTEM
  ibrav = 0, nat = 4, ntyp = 3
/
ATOMIC_SPECIES
Ni 58.69 Ni.upf
Ba 137.33 Ba.upf
Pt 195.08 Pt.upf
ATOMIC_POSITIONS angstrom
Ni 5.855 2.465 0.000
Ba 14.462 6.088 0.000
Ba 4.445 0.180 1.568
Pt 4.483 3.623 1.590
CELL_PARAMETERS angstrom
8.540 0.168 -0.021
6.090 5.990 0.021
-7.331 -3.041 3.158
```

=====

> Which of these has the highest uncorrected energy?

Ba2NiPt

=====

> What is the uncorrected energy in the fourth record?

-16.90 eV/cell